[1]
# UInCo2

UInCo2 after structural relaxation (PBE-GGA, Alexandria).

Lattice parameters (Å, degrees): 3.0211 3.0211 6.9725 90.00 90.00 90.00
Closest atoms and distances in Å follow each position.
Fractional coordinates of all 4 atoms:
U 0.0000 0.0000 0.0000  8 Co 2.76, 4 U 3.02
In 0.0000 0.0000 0.5000  8 Co 2.75, 4 In 3.02
Co 0.5000 0.5000 0.2506  4 In 2.75, 4 U 2.76, 4 Co 3.02
Co 0.5000 0.5000 0.7494  4 In 2.75, 4 U 2.76, 4 Co 3.02

The calculation puts the formation energy at -0.002 eV/atom. The crystal system is tetragonal. Its density is 12.28 g cm⁻³. The value obtained for the spin magnetization is 0.12 μB per formula unit.

***

[2]
# VInCo

VInCo after structural relaxation (PBE-GGA, Alexandria).

Lattice parameters (Å, degrees): 2.9203 2.9203 10.5610 90.00 90.00 90.00
Closest atoms and distances in Å follow each position.
Fractional coordinates of all 6 atoms:
V 0.0000 0.0000 0.0000  4 Co 2.42
V 0.5000 0.5000 0.5000  4 Co 2.42
In 0.0000 0.0000 0.6995  4 Co 2.82, 4 In 2.92, 4 V 2.95
In 0.5000 0.5000 0.1995  4 Co 2.82, 4 In 2.92, 4 V 2.95
Co 0.0000 0.0000 0.3814  4 V 2.42
Co 0.5000 0.5000 0.8814  4 V 2.42

The calculation puts the formation energy at 0.056 eV/atom. The crystal system is tetragonal. Its density is 8.29 g cm⁻³. The value obtained for the spin magnetization is 0.61 μB per formula unit.

***

[3]
# VIn2Co2

VIn2Co2 after structural relaxation (PBE-GGA, Alexandria).

Lattice parameters (Å, degrees): 3.2675 3.2675 16.4947 90.00 90.00 90.00
Closest atoms and distances in Å follow each position.
Fractional coordinates of all 10 atoms:
V 0.0000 0.0000 0.0000  8 In 2.98, 4 V 3.27
V 0.5000 0.5000 0.5000  8 In 2.98, 4 V 3.27
In 0.0000 0.0000 0.3862  4 Co 2.78, 4 V 2.98
In 0.0000 0.0000 0.6138  4 Co 2.78, 4 V 2.98
In 0.5000 0.5000 0.1138  4 Co 2.78, 4 V 2.98
In 0.5000 0.5000 0.8862  4 Co 2.78, 4 V 2.98
Co 0.0000 0.5000 0.2500  4 Co 2.31
Co 0.0000 0.5000 0.7500  4 Co 2.31
Co 0.5000 0.0000 0.2500  4 Co 2.31
Co 0.5000 0.0000 0.7500  4 Co 2.31

For the energy relative to the lowest polymorph listed for this composition, the calculation gives 257.7 meV per atom. The calculation puts the formation energy at 0.390 eV/atom. The crystal system is tetragonal. Its density is 7.51 g cm⁻³. The value obtained for the spin magnetization is 6.32 μB per formula unit.

***

[4]
# V3InCo

V3InCo after structural relaxation (PBE-GGA, Alexandria).

Lattice parameters (Å, degrees): 4.3662 4.3662 4.3662 90.00 90.00 90.00
Closest atoms and distances in Å follow each position.
Fractional coordinates of all 5 atoms:
V 0.0000 0.0000 0.5000  2 Co 2.18
V 0.0000 0.5000 0.0000  2 Co 2.18
V 0.5000 0.0000 0.0000  2 Co 2.18
In 0.5000 0.5000 0.5000  12 V 3.09
Co 0.0000 0.0000 0.0000  6 V 2.18

For the energy relative to the lowest polymorph listed for this composition, the calculation gives 0.0 meV per atom. The calculation puts the formation energy at 0.556 eV/atom. The crystal system is cubic. Its density is 6.51 g cm⁻³. The value obtained for the spin magnetization is 0.01 μB per formula unit.

***

[5]
# VIn3Co

VIn3Co after structural relaxation (PBE-GGA, Alexandria).

Lattice parameters (Å, degrees): 4.8784 4.8784 4.8784 90.00 90.00 90.00
Closest atoms and distances in Å follow each position.
Fractional coordinates of all 5 atoms:
V 0.0000 0.0000 0.0000  12 In 3.45
In 0.0000 0.5000 0.5000  2 Co 2.44
In 0.5000 0.0000 0.5000  2 Co 2.44
In 0.5000 0.5000 0.0000  2 Co 2.44
Co 0.5000 0.5000 0.5000  6 In 2.44

For the energy relative to the lowest polymorph listed for this composition, the calculation gives 0.0 meV per atom. The calculation puts the formation energy at 0.528 eV/atom. The crystal system is cubic. Its density is 6.50 g cm⁻³. The value obtained for the spin magnetization is 4.38 μB per formula unit.

***

[6]
# VInCo

VInCo after structural relaxation (PBE-GGA, Alexandria).

Lattice parameters (Å, degrees): 6.5179 6.3923 4.2682 72.29 69.11 38.60
Closest atoms and distances in Å follow each position.
Fractional coordinates of all 6 atoms:
V 0.2500 0.2500 0.2500  4 Co 2.35
V 0.7500 0.7500 0.7500  4 Co 2.35
In 0.2196 0.7804 0.2196  2 Co 2.57, 1 In 2.77
In 0.7804 0.2196 0.7804  2 Co 2.57, 1 In 2.77
Co 0.3362 0.3362 0.6638  4 V 2.35, 2 In 2.57
Co 0.6638 0.6638 0.3362  4 V 2.35, 2 In 2.57

The calculation puts the formation energy at 0.325 eV/atom. The crystal system is orthorhombic. Its density is 7.21 g cm⁻³. The value obtained for the spin magnetization is 0.00 μB per formula unit.